## FeCoAs2O8 (PBE+U)

Data for a geometry-optimized FeCoAs2O8 structure.

- electronic total energy (eV per cell) = -71.961
- total magnetic moment (μB/f.u.) = 9.08
- crystal system = tetragonal

```
FeCoAs2O8
1.0
-3.322 3.322 3.061
3.322 -3.322 3.061
3.322 3.322 -3.061
Fe Co As O
1 1 2 8
direct
0.000 0.000 0.000
0.250 0.750 0.500
0.500 0.500 0.000
0.750 0.250 0.500
0.307 0.119 0.812
0.307 0.496 0.188
0.369 0.057 0.312
0.504 0.693 0.812
0.745 0.057 0.688
0.881 0.693 0.188
0.943 0.255 0.312
0.943 0.631 0.688
```